1.
{
  "formula": "GaCuAs2",
  "functional": "PBE",
  "state": "relaxed",
  "density_g_cm3": 5.33,
  "formation_enthalpy_0k_ev_per_atom": 0.00,
  "lattice": [[-2.8197, 2.8197, 5.5416], [2.8197, -2.8197, 5.5416], [2.8197, 2.8197, -5.5416]],
  "species": ["Ga", "Ga", "Cu", "Cu", "As", "As", "As", "As"],
  "frac_coords": [[0.0000, 0.0000, 0.0000], [0.7500, 0.2500, 0.5000], [0.2500, 0.7500, 0.5000], [0.5000, 0.5000, 0.0000], [0.1438, 0.6250, 0.0188], [0.3750, 0.3938, 0.5188], [0.6062, 0.1250, 0.9812], [0.8750, 0.8562, 0.4812]]
}


2.
{
  "formula": "Nd7Sm16Dy6",
  "functional": "PBE",
  "state": "relaxed",
  "density_g_cm3": 7.09,
  "formation_enthalpy_0k_ev_per_atom": 0.24,
  "lattice": [[0.0000, 8.0116, 8.0116], [8.0116, 0.0000, 8.0116], [8.0116, 8.0116, 0.0000]],
  "species": ["Nd", "Nd", "Nd", "Nd", "Nd", "Nd", "Nd", "Sm", "Sm", "Sm", "Sm", "Sm", "Sm", "Sm", "Sm", "Sm", "Sm", "Sm", "Sm", "Sm", "Sm", "Sm", "Sm", "Dy", "Dy", "Dy", "Dy", "Dy", "Dy"],
  "frac_coords": [[0.0000, 0.0000, 0.0000], [0.0000, 0.0000, 0.5000], [0.0000, 0.5000, 0.0000], [0.0000, 0.5000, 0.5000], [0.5000, 0.0000, 0.0000], [0.5000, 0.0000, 0.5000], [0.5000, 0.5000, 0.0000], [0.0472, 0.6509, 0.6509], [0.1260, 0.1260, 0.1260], [0.1260, 0.1260, 0.6219], [0.1260, 0.6219, 0.1260], [0.3491, 0.3491, 0.3491], [0.3491, 0.3491, 0.9528], [0.3491, 0.9528, 0.3491], [0.3781, 0.8740, 0.8740], [0.6219, 0.1260, 0.1260], [0.6509, 0.0472, 0.6509], [0.6509, 0.6509, 0.0472], [0.6509, 0.6509, 0.6509], [0.8740, 0.3781, 0.8740], [0.8740, 0.8740, 0.3781], [0.8740, 0.8740, 0.8740], [0.9528, 0.3491, 0.3491], [0.2649, 0.2649, 0.7351], [0.2649, 0.7351, 0.2649], [0.2649, 0.7351, 0.7351], [0.7351, 0.2649, 0.2649], [0.7351, 0.2649, 0.7351], [0.7351, 0.7351, 0.2649]]
}


3.
{
  "formula": "Dy2PaMnFe2",
  "functional": "PBE",
  "state": "relaxed",
  "density_g_cm3": 9.82,
  "formation_enthalpy_0k_ev_per_atom": -0.05,
  "lattice": [[-3.1599, 6.0643, 3.1880], [3.1599, -6.0643, 3.1880], [3.1599, 6.0643, -3.1880]],
  "species": ["Dy", "Dy", "Dy", "Dy", "Pa", "Pa", "Mn", "Mn", "Fe", "Fe", "Fe", "Fe"],
  "frac_coords": [[0.1857, 0.1651, 0.3508], [0.3143, 0.6651, 0.9795], [0.6857, 0.3349, 0.0205], [0.8143, 0.8349, 0.6492], [0.2500, 0.7500, 0.5000], [0.7500, 0.2500, 0.5000], [0.2500, 0.2500, 0.0000], [0.7500, 0.7500, 0.0000], [0.0806, 0.7469, 0.8275], [0.4194, 0.2469, 0.6663], [0.5806, 0.7531, 0.3337], [0.9194, 0.2531, 0.1725]]
}


4.
{
  "formula": "Tb8Zn2Pt",
  "functional": "PBE",
  "state": "relaxed",
  "density_g_cm3": 8.93,
  "formation_enthalpy_0k_ev_per_atom": -0.32,
  "lattice": [[8.8693, -2.5442, 0.0000], [8.8693, 2.5442, 0.0000], [-1.4059, 0.0000, 6.5786]],
  "species": ["Tb", "Tb", "Tb", "Tb", "Tb", "Tb", "Tb", "Tb", "Zn", "Zn", "Pt"],
  "frac_coords": [[0.0271, 0.0271, 0.2754], [0.2042, 0.2042, 0.8246], [0.3414, 0.3414, 0.5335], [0.4100, 0.4100, 0.0560], [0.5900, 0.5900, 0.9440], [0.6586, 0.6586, 0.4665], [0.7958, 0.7958, 0.1754], [0.9729, 0.9729, 0.7246], [0.1918, 0.1918, 0.2423], [0.8082, 0.8082, 0.7577], [0.5000, 0.5000, 0.5000]]
}


5.
{
  "formula": "LaCd2Os",
  "functional": "PBE",
  "state": "relaxed",
  "density_g_cm3": 10.25,
  "formation_enthalpy_0k_ev_per_atom": 0.20,
  "lattice": [[4.1889, 0.0000, 0.0000], [0.0000, 4.1889, 0.0000], [0.0000, 0.0000, 5.1151]],
  "species": ["La", "Cd", "Cd", "Os"],
  "frac_coords": [[0.0000, 0.0000, 0.0000], [0.0000, 0.5000, 0.5000], [0.5000, 0.0000, 0.5000], [0.5000, 0.5000, 0.0000]]
}


6.
{
  "formula": "GdZrSb2",
  "functional": "PBE",
  "state": "relaxed",
  "density_g_cm3": 7.40,
  "formation_energy_uncorrected_ev_per_atom": -0.880,
  "lattice": [[2.1255, 1.2271, 7.0531], [-2.1255, 1.2271, 7.0531], [0.0000, -2.4543, 7.0531]],
  "species": ["Gd", "Zr", "Sb", "Sb"],
  "frac_coords": [[0.0000, 0.0000, 0.0000], [0.5000, 0.5000, 0.5000], [0.2447, 0.2447, 0.2447], [0.7553, 0.7553, 0.7553]]
}


7.
{
  "formula": "SrCaEuSbO6",
  "functional": "PBE",
  "state": "relaxed",
  "polymorph_energy_mev_per_atom": 93,
  "density_g_cm3": 5.49,
  "formation_energy_uncorrected_ev_per_atom": -2.314,
  "lattice": [[0.0000, 4.2218, 4.2218], [4.2218, 0.0000, 4.2218], [4.2218, 4.2218, 0.0000]],
  "species": ["Sr", "Ca", "Eu", "Sb", "O", "O", "O", "O", "O", "O"],
  "frac_coords": [[0.0000, 0.0000, 0.0000], [0.5000, 0.5000, 0.5000], [0.7500, 0.7500, 0.7500], [0.2500, 0.2500, 0.2500], [0.0147, 0.0147, 0.4853], [0.0147, 0.4853, 0.0147], [0.0147, 0.4853, 0.4853], [0.4853, 0.0147, 0.0147], [0.4853, 0.0147, 0.4853], [0.4853, 0.4853, 0.0147]]
}


8.
{
  "formula": "YThPd3",
  "functional": "PBE",
  "state": "relaxed",
  "polymorph_energy_mev_per_atom": 0,
  "density_g_cm3": 9.46,
  "formation_enthalpy_0k_ev_per_atom": -0.83,
  "lattice": [[4.3306, 0.0000, 0.0000], [0.0000, 5.8386, 0.0000], [0.0000, 0.0000, 8.8885]],
  "species": ["Y", "Y", "Th", "Th", "Pd", "Pd", "Pd", "Pd", "Pd", "Pd"],
  "frac_coords": [[0.2500, 0.2500, 0.0501], [0.7500, 0.7500, 0.9499], [0.2500, 0.7500, 0.3880], [0.7500, 0.2500, 0.6120], [0.2500, 0.2500, 0.3776], [0.2500, 0.5099, 0.7704], [0.2500, 0.9901, 0.7704], [0.7500, 0.0099, 0.2296], [0.7500, 0.4901, 0.2296], [0.7500, 0.7500, 0.6224]]
}


9.
{
  "formula": "PmDy2Tl4",
  "functional": "PBE",
  "state": "relaxed",
  "polymorph_energy_mev_per_atom": 109,
  "density_g_cm3": 10.09,
  "formation_enthalpy_0k_ev_per_atom": -0.12,
  "lattice": [[2.4471, 1.4128, 10.2136], [-2.4471, 1.4128, 10.2136], [0.0000, -2.8257, 10.2136]],
  "species": ["Pm", "Dy", "Dy", "Tl", "Tl", "Tl", "Tl"],
  "frac_coords": [[0.0000, 0.0000, 0.0000], [0.1298, 0.1298, 0.1298], [0.8702, 0.8702, 0.8702], [0.2423, 0.2423, 0.2423], [0.3844, 0.3844, 0.3844], [0.6156, 0.6156, 0.6156], [0.7577, 0.7577, 0.7577]]
}


10.
{
  "formula": "CaCdTc2",
  "functional": "PBE",
  "state": "relaxed",
  "density_g_cm3": 7.91,
  "formation_enthalpy_0k_ev_per_atom": 0.56,
  "lattice": [[3.3862, 0.0000, 0.0000], [0.0000, 4.4979, 0.0000], [0.0000, 0.0000, 4.8047]],
  "species": ["Ca", "Cd", "Tc", "Tc"],
  "frac_coords": [[0.0000, 0.0000, 0.0000], [0.5000, 0.5000, 0.0000], [0.0000, 0.5000, 0.5000], [0.5000, 0.0000, 0.5000]]
}


11.
{
  "formula": "Ac12GaCo6",
  "functional": "PBE",
  "state": "relaxed",
  "density_g_cm3": 8.85,
  "formation_enthalpy_0k_ev_per_atom": -0.06,
  "lattice": [[-5.2862, 5.2862, 5.2862], [5.2862, -5.2862, 5.2862], [5.2862, 5.2862, -5.2862]],
  "species": ["Ac", "Ac", "Ac", "Ac", "Ac", "Ac", "Ac", "Ac", "Ac", "Ac", "Ac", "Ac", "Ga", "Co", "Co", "Co", "Co", "Co", "Co"],
  "frac_coords": [[0.1229, 0.3099, 0.8130], [0.1870, 0.4970, 0.3099], [0.1870, 0.8771, 0.6901], [0.3099, 0.1870, 0.4970], [0.3099, 0.8130, 0.1229], [0.4970, 0.3099, 0.1870], [0.5030, 0.6901, 0.8130], [0.6901, 0.1870, 0.8771], [0.6901, 0.8130, 0.5030], [0.8130, 0.1229, 0.3099], [0.8130, 0.5030, 0.6901], [0.8771, 0.6901, 0.1870], [0.0000, 0.0000, 0.0000], [0.1089, 0.5000, 0.6089], [0.3911, 0.8911, 0.5000], [0.5000, 0.3911, 0.8911], [0.5000, 0.6089, 0.1089], [0.6089, 0.1089, 0.5000], [0.8911, 0.5000, 0.3911]]
}


12.
{
  "formula": "Li7PrAg5",
  "functional": "PBE",
  "state": "relaxed",
  "density_g_cm3": 4.92,
  "formation_enthalpy_0k_ev_per_atom": -0.15,
  "lattice": [[-2.8088, 4.7955, 4.5678], [2.8088, -4.7955, 4.5678], [2.8088, 4.7955, -4.5678]],
  "species": ["Li", "Li", "Li", "Li", "Li", "Li", "Li", "Pr", "Ag", "Ag", "Ag", "Ag", "Ag"],
  "frac_coords": [[0.0000, 0.0000, 0.0000], [0.2701, 0.6238, 0.6463], [0.3037, 0.3037, 0.0000], [0.4183, 0.9183, 0.5000], [0.4236, 0.1413, 0.2823], [0.8590, 0.1413, 0.7177], [0.9776, 0.6238, 0.3537], [0.6609, 0.6609, 0.0000], [0.1467, 0.1364, 0.5062], [0.1467, 0.6404, 0.0102], [0.6302, 0.1364, 0.9898], [0.6302, 0.6404, 0.4938], [0.8464, 0.3464, 0.5000]]
}